First-principles (GGA-PBE) data for MgPd3Rh after structural relaxation, as listed in Alexandria via LeMat-Bulk.

```
5
Lattice="4.828 0.000 0.000 0.000 4.828 0.000 0.000 0.000 4.828" Properties=species:S:1:pos:R:3 pbc="T T T"
Mg 0.000 0.000 0.000
Pd 0.000 2.414 2.414
Pd 2.414 0.000 2.414
Pd 2.414 2.414 0.000
Rh 2.414 2.414 2.414
```

Values from the calculation:
M_tot   0.4115 μB per atom
Offset from the most stable computed form   0 meV per atom
Fermi-level density of states   1.1710 states/eV per atom
Formation energy   3.87 eV per formula unit
SG   No. 221